# TaCo5

TaCo5 after structural relaxation (GGA-PBE, Alexandria).

Cell and atoms, written as POSCAR:
```
TaCo5
1.0
1.350 4.656 0.013
-1.350 4.656 0.013
0.000 1.600 5.739
Co Ta
5 1
direct
0.652 0.652 0.666
0.327 0.327 0.350
0.951 0.951 0.589
0.612 0.612 0.280
0.005 0.005 0.015
0.286 0.286 0.934
```

Computed properties:
D(E_F) = 7.10 states/eV/f.u.
ΔE_f = 0.216 eV per formula unit



# Li2NpTl3O6

Li2NpTl3O6 after structural relaxation (GGA-PBE, Alexandria).

Cell and atoms, written as POSCAR:
```
Li2NpTl3O6
1.0
6.128 -0.210 0.217
-3.244 5.203 0.217
-0.718 -1.244 6.309
O Np Li Tl
6 1 2 3
direct
0.080 0.352 0.123
0.153 0.153 0.727
0.920 0.648 0.877
0.352 0.080 0.123
0.648 0.920 0.877
0.847 0.847 0.273
0.000 0.000 0.000
0.713 0.287 0.000
0.287 0.713 0.000
0.825 0.175 0.500
0.500 0.500 0.500
0.175 0.825 0.500
```

Computed properties:
D(E_F) = 0.32 states/eV/f.u.
Formation energy (no corrections) = -39.39 kcal/mol of atoms



# Ce4Ga2Ge5

Ce4Ga2Ge5 after structural relaxation (GGA-PBE, Alexandria).

Cell and atoms, written as POSCAR:
```
Ce4Ga2Ge5
1.0
4.321 0.000 0.000
0.000 7.054 0.317
0.000 -0.276 8.170
Ge Ce Ga
5 4 2
direct
0.000 0.500 0.000
0.000 0.117 0.121
0.000 0.883 0.879
0.000 0.444 0.654
0.000 0.556 0.346
0.500 0.765 0.129
0.500 0.235 0.871
0.500 0.253 0.375
0.500 0.747 0.625
0.000 0.090 0.626
0.000 0.910 0.374
```

Computed properties:
D(E_F) = 19.54 states/eV/f.u.
ΔE_f = -7.257 eV per formula unit



# TbVFeP2

TbVFeP2 after structural relaxation (GGA-PBE, Alexandria).

Cell and atoms, written as POSCAR:
```
TbVFeP2
1.0
3.891 0.000 0.000
0.000 3.891 0.000
-1.946 -1.946 5.024
P Fe Tb V
2 1 1 1
direct
0.374 0.374 0.748
0.626 0.626 0.252
0.250 0.750 0.500
0.000 0.000 0.000
0.750 0.250 0.500
```

Computed properties:
D(E_F) = 1.87 states/eV/f.u.
ΔE_f = -4.562 eV per formula unit